No. 1
{
  "formula": "La5Dy5Sc2",
  "functional": "GGA-PBE",
  "state": "optimized geometry",
  "e_form_ev_per_atom": 0.05,
  "dft_energy_ev_per_fu": -59.7,
  "rho_kg_m3": 6812,
  "lattice": [[4.8891, 0.0000, 1.0447], [2.1528, 7.5338, 1.8876], [0.2603, 0.6318, 10.7439]],
  "species": ["La", "Dy", "La", "Dy", "La", "Dy", "Sc", "La", "Sc", "Dy", "La", "Dy"],
  "fractional_positions": [[0.3345, 0.3304, 0.0006], [0.2552, 0.7438, 0.7458], [0.6655, 0.6696, 0.9994], [0.0000, 0.0000, 0.0000], [0.4196, 0.9097, 0.2512], [0.7448, 0.2562, 0.2542], [0.9153, 0.4203, 0.7491], [0.5804, 0.0903, 0.7488], [0.0847, 0.5797, 0.2509], [0.1672, 0.1675, 0.4980], [0.5000, 0.5000, 0.5000], [0.8328, 0.8325, 0.5020]]
}

No. 2
{
  "formula": "IrW3Au",
  "functional": "GGA-PBE",
  "state": "optimized geometry",
  "e_form_ev_per_atom": 1.89,
  "de_polymorph_mev_per_atom": 0,
  "dft_energy_ev_per_fu": -41.5,
  "rho_kg_m3": 14694,
  "lattice": [[-3.0451, -1.4110, -3.3431], [-2.2558, -2.6825, 3.1869], [-2.8424, 3.6406, 1.0524]],
  "species": ["W", "W", "Ir", "W", "Au"],
  "fractional_positions": [[0.5000, 0.0000, 0.0000], [0.0000, 0.0000, 0.5000], [0.0000, 0.0000, 0.0000], [0.0000, 0.5000, 0.0000], [0.5000, 0.5000, 0.5000]]
}

No. 3
{
  "formula": "PmZnAgAu",
  "functional": "GGA-PBE",
  "state": "optimized geometry",
  "e_form_ev_per_atom": -0.40,
  "de_polymorph_mev_per_atom": 25,
  "dft_energy_ev_per_fu": -13.8,
  "rho_kg_m3": 10210,
  "lattice": [[4.9119, 0.0000, 0.0000], [2.4559, 4.2538, 0.0000], [2.4559, 1.4179, 4.0105]],
  "species": ["Ag", "Au", "Zn", "Pm"],
  "fractional_positions": [[0.2500, 0.2500, 0.2500], [0.0000, 0.0000, 0.0000], [0.5000, 0.5000, 0.5000], [0.7500, 0.7500, 0.7500]]
}

No. 4
{
  "formula": "Fe4PbBr",
  "functional": "GGA-PBE",
  "state": "optimized geometry",
  "formation_energy_uncorrected_kj_per_mol_fu": 311,
  "dft_energy_ev_per_fu": -36.0,
  "rho_kg_m3": 8555,
  "lattice": [[-2.8002, -3.0558, 3.1305], [-5.1619, 0.5363, 0.2154], [-3.0783, -3.6635, -2.0205]],
  "species": ["Fe", "Fe", "Br", "Fe", "Pb", "Fe"],
  "fractional_positions": [[0.3764, 0.3764, 0.8709], [0.8709, 0.3764, 0.3764], [0.0000, 0.0000, 0.0000], [0.3764, 0.8709, 0.3764], [0.7500, 0.7500, 0.7500], [0.3764, 0.3764, 0.3764]]
}

No. 5
{
  "formula": "Li2ErTl2",
  "functional": "GGA-PBE",
  "state": "optimized geometry",
  "e_form_ev_per_atom": -0.26,
  "de_polymorph_mev_per_atom": 0,
  "dft_energy_ev_per_fu": -14.4,
  "rho_kg_m3": 8704,
  "lattice": [[-0.7803, -3.4453, 0.5083], [2.9829, -1.6051, -6.2999], [5.9286, 1.7537, 8.4584]],
  "species": ["Li", "Er", "Li", "Tl", "Tl", "Li", "Er", "Li", "Tl", "Tl"],
  "fractional_positions": [[0.2060, 0.0591, 0.4119], [0.0000, 0.2500, 0.0000], [0.2059, 0.5591, 0.4119], [0.3800, 0.8197, 0.7600], [0.3800, 0.3197, 0.7600], [0.7941, 0.4409, 0.5881], [0.0000, 0.7500, 0.0000], [0.7940, 0.9409, 0.5881], [0.6200, 0.6803, 0.2400], [0.6200, 0.1803, 0.2400]]
}

No. 6
{
  "formula": "AlSbW",
  "functional": "GGA-PBE",
  "state": "optimized geometry",
  "de_polymorph_mev_per_atom": 0,
  "formation_energy_uncorrected_kj_per_mol_fu": 28,
  "dft_energy_ev_per_fu": -20.5,
  "rho_kg_m3": 10584,
  "lattice": [[4.8616, -1.0104, 0.0000], [3.3459, 3.6689, 0.0000], [-4.1038, -1.3293, 2.4593]],
  "species": ["W", "Al", "Sb"],
  "fractional_positions": [[0.6640, 0.6640, 0.0000], [0.0066, 0.0066, 0.0000], [0.3294, 0.3294, 0.0000]]
}

No. 7
{
  "formula": "Ac2Zn4CuSi3",
  "functional": "GGA-PBE",
  "state": "optimized geometry",
  "formation_energy_uncorrected_kj_per_mol_fu": -360,
  "dft_energy_ev_per_fu": -37.4,
  "rho_kg_m3": 7255,
  "lattice": [[-3.6886, 1.8825, -1.3889], [0.4849, -1.9218, -3.8923], [-5.4277, -8.1610, 3.3532]],
  "species": ["Si", "Zn", "Zn", "Zn", "Cu", "Zn", "Si", "Ac", "Si", "Ac"],
  "fractional_positions": [[0.0000, 0.0000, 0.5000], [0.5000, 0.0000, 0.6223], [0.5000, 0.5000, 0.0000], [0.0000, 0.5000, 0.3777], [0.5000, 0.5000, 0.5000], [0.0000, 0.0000, 0.0000], [0.0000, 0.5000, 0.1344], [0.0000, 0.5000, 0.7473], [0.5000, 0.0000, 0.8656], [0.5000, 0.0000, 0.2527]]
}

No. 8
{
  "formula": "LiCd2SbH",
  "functional": "GGA-PBE",
  "state": "optimized geometry",
  "dft_energy_ev_per_fu": -11.3,
  "rho_kg_m3": 6322,
  "lattice": [[4.5980, 0.0000, 0.0000], [0.0000, 4.5980, 0.0000], [0.0000, 0.0000, 4.4050]],
  "species": ["Sb", "Cd", "Li", "H", "Cd"],
  "fractional_positions": [[0.5000, 0.5000, 0.5000], [0.0000, 0.5000, 0.0000], [0.0000, 0.0000, 0.5000], [0.0000, 0.0000, 0.0000], [0.5000, 0.0000, 0.0000]]
}

No. 9
{
  "formula": "KRbNiBr4",
  "functional": "GGA-PBE",
  "state": "optimized geometry",
  "formation_energy_uncorrected_kj_per_mol_fu": -754,
  "dft_energy_ev_per_fu": -22.4,
  "rho_kg_m3": 3364,
  "lattice": [[7.1182, 0.0000, -0.2494], [0.0000, 7.5195, 0.0000], [-3.1014, 0.0000, 9.3849]],
  "species": ["Br", "K", "Ni", "Br", "K", "Br", "Rb", "Rb", "Br", "Br", "Ni", "Br", "Br", "Br"],
  "fractional_positions": [[0.9963, 0.4959, 0.7524], [0.7948, 0.7500, 0.4532], [0.2316, 0.7500, 0.3062], [0.6307, 0.2500, 0.4371], [0.2052, 0.2500, 0.5468], [0.3693, 0.7500, 0.5629], [0.7262, 0.7500, 0.9283], [0.2738, 0.2500, 0.0717], [0.0037, 0.5041, 0.2476], [0.6052, 0.2500, 0.8680], [0.7684, 0.2500, 0.6938], [0.9963, 0.0041, 0.7524], [0.0037, 0.9959, 0.2476], [0.3948, 0.7500, 0.1320]]
}

No. 10
{
  "formula": "K2Y",
  "functional": "GGA-PBE",
  "state": "optimized geometry",
  "e_form_ev_per_atom": 0.67,
  "dft_energy_ev_per_fu": -6.6,
  "rho_kg_m3": 1932,
  "lattice": [[0.0000, 5.2365, 5.2365], [5.2365, 0.0000, 5.2365], [5.2365, 5.2365, 0.0000]],
  "species": ["Y", "K", "K", "K", "K", "Y"],
  "fractional_positions": [[0.7500, 0.7500, 0.7500], [0.1250, 0.1250, 0.1250], [0.1250, 0.1250, 0.6250], [0.6250, 0.1250, 0.1250], [0.1250, 0.6250, 0.1250], [0.5000, 0.5000, 0.5000]]
}

No. 11
{
  "formula": "Cu2MoPd3",
  "functional": "GGA-PBE",
  "state": "optimized geometry",
  "e_form_ev_per_atom": -0.09,
  "dft_energy_ev_per_fu": -35.2,
  "rho_kg_m3": 10490,
  "lattice": [[-0.1642, -2.7784, -0.2089], [2.4707, -0.0485, -1.2975], [5.0849, -1.0314, 9.7209]],
  "species": ["Cu", "Pd", "Pd", "Cu", "Pd", "Mo"],
  "fractional_positions": [[0.5000, 0.5000, 0.1587], [0.0000, 0.0000, 0.6761], [0.0000, 0.0000, 0.0000], [0.5000, 0.5000, 0.8413], [0.0000, 0.0000, 0.3239], [0.5000, 0.5000, 0.5000]]
}

No. 12
{
  "formula": "TbNp2UP4",
  "functional": "GGA-PBE",
  "state": "optimized geometry",
  "e_form_ev_per_atom": -1.05,
  "dft_energy_ev_per_fu": -71.9,
  "rho_kg_m3": 9400,
  "lattice": [[-2.2575, 1.0936, 3.0441], [-5.6200, -0.9072, -3.8419], [1.5102, -5.8748, 3.2305]],
  "species": ["Np", "P", "P", "Tb", "P", "U", "P", "Np"],
  "fractional_positions": [[0.0000, 0.5000, 0.5000], [0.5000, 0.2462, 0.2490], [0.0000, 0.7560, 0.2530], [0.5000, 0.5000, 0.0000], [0.0000, 0.2440, 0.7470], [0.0000, 0.0000, 0.0000], [0.5000, 0.7538, 0.7510], [0.5000, 0.0000, 0.5000]]
}

No. 13
{
  "formula": "Ba2PuBe2As4",
  "functional": "GGA-PBE",
  "state": "optimized geometry",
  "e_form_ev_per_atom": -0.77,
  "dft_energy_ev_per_fu": -51.1,
  "rho_kg_m3": 6207,
  "lattice": [[4.1425, 0.0000, 0.0000], [0.0000, 7.5350, 0.1743], [-2.0712, -2.8262, 7.1024]],
  "species": ["As", "Be", "Pu", "As", "Ba", "Ba", "As", "Be", "As"],
  "fractional_positions": [[0.4783, 0.2415, 0.9566], [0.6720, 0.9776, 0.3441], [0.0000, 0.0000, 0.0000], [0.5217, 0.7585, 0.0434], [0.1380, 0.5791, 0.2759], [0.8620, 0.4209, 0.7241], [0.2029, 0.1523, 0.4057], [0.3280, 0.0224, 0.6559], [0.7971, 0.8477, 0.5943]]
}

No. 14
{
  "formula": "PuPPd",
  "functional": "GGA-PBE",
  "state": "optimized geometry",
  "e_form_ev_per_atom": -0.91,
  "dft_energy_ev_per_fu": -27.7,
  "rho_kg_m3": 11558,
  "lattice": [[4.0717, 0.0000, 0.0000], [0.0000, 6.8843, 0.0515], [0.0000, -0.2700, 11.7268]],
  "species": ["Pu", "P", "Pd", "Pd", "P", "P", "P", "Pd", "Pu", "Pd", "Pd", "Pu", "Pu", "Pu", "Pu", "Pd", "P", "P"],
  "fractional_positions": [[0.2500, 0.9834, 0.7089], [0.2500, 0.7669, 0.9113], [0.7500, 0.0066, 0.9123], [0.2500, 0.9934, 0.0877], [0.7500, 0.2331, 0.0887], [0.7500, 0.7686, 0.5839], [0.2500, 0.2314, 0.4161], [0.7500, 0.1535, 0.5415], [0.2500, 0.3511, 0.9251], [0.7500, 0.6427, 0.7958], [0.2500, 0.3574, 0.2042], [0.7500, 0.6489, 0.0749], [0.7500, 0.0166, 0.2911], [0.2500, 0.4762, 0.6196], [0.7500, 0.5238, 0.3804], [0.2500, 0.8465, 0.4585], [0.2500, 0.7221, 0.2459], [0.7500, 0.2779, 0.7541]]
}

No. 15
{
  "formula": "CdSiPO2",
  "functional": "GGA-PBE",
  "state": "optimized geometry",
  "de_polymorph_mev_per_atom": 0,
  "formation_energy_uncorrected_kj_per_mol_fu": -422,
  "dft_energy_ev_per_fu": -26.0,
  "rho_kg_m3": 5173,
  "lattice": [[3.5450, 0.0000, 0.0000], [0.0000, 3.5450, 0.0000], [0.0000, 0.0000, 5.1971]],
  "species": ["O", "P", "Cd", "Si", "O"],
  "fractional_positions": [[0.5000, 0.0000, 0.0000], [0.0000, 0.0000, 0.5000], [0.5000, 0.5000, 0.5000], [0.0000, 0.0000, 0.0000], [0.0000, 0.5000, 0.0000]]
}

No. 16
{
  "formula": "V2Pt7Rh",
  "functional": "GGA-PBE",
  "state": "optimized geometry",
  "e_form_ev_per_atom": 0.20,
  "de_polymorph_mev_per_atom": 270,
  "dft_energy_ev_per_fu": -65.9,
  "rho_kg_m3": 14099,
  "lattice": [[-2.8309, 2.5905, 0.2454], [-0.8199, -0.1810, -7.5485], [-3.7785, -4.5780, 4.7382]],
  "species": ["Pt", "V", "Pt", "Pt", "Pt", "Pt", "V", "Pt", "Rh", "Pt"],
  "fractional_positions": [[0.5000, 0.6987, 0.9137], [0.5000, 0.3104, 0.6896], [0.5000, 0.0863, 0.3013], [0.5000, 0.5000, 0.5000], [0.5000, 0.9137, 0.6987], [0.5000, 0.3013, 0.0863], [0.5000, 0.6896, 0.3104], [0.0000, 0.7978, 0.2022], [0.0000, 0.0000, 0.0000], [0.0000, 0.2022, 0.7978]]
}

No. 17
{
  "formula": "BaHBr",
  "functional": "GGA-PBE",
  "state": "optimized geometry",
  "dft_energy_ev_per_fu": -10.8,
  "rho_kg_m3": 4218,
  "lattice": [[-2.6531, -3.3949, -0.4863], [9.2929, -7.0730, -1.3230], [0.1391, -1.0624, 6.6573]],
  "species": ["Br", "H", "Br", "Br", "Ba", "H", "H", "Ba", "H", "Ba", "Ba", "Br"],
  "fractional_positions": [[0.0000, 0.5699, 0.8640], [0.5000, 0.2179, 0.4027], [0.5000, 0.9301, 0.3640], [0.0000, 0.4301, 0.3640], [0.0000, 0.1546, 0.2227], [0.0000, 0.2821, 0.9027], [0.0000, 0.7179, 0.4027], [0.5000, 0.3454, 0.7227], [0.5000, 0.7821, 0.9027], [0.5000, 0.6546, 0.2227], [0.0000, 0.8454, 0.7227], [0.5000, 0.0699, 0.8640]]
}

No. 18
{
  "formula": "Dy2PaS2N2",
  "functional": "GGA-PBE",
  "state": "optimized geometry",
  "formation_energy_uncorrected_kj_per_mol_fu": -1022,
  "dft_energy_ev_per_fu": -54.2,
  "rho_kg_m3": 7953,
  "lattice": [[-1.2016, -0.0628, 4.1462], [-4.1419, -0.1900, -1.2032], [3.0080, -7.1265, -1.4839]],
  "species": ["S", "N", "Pa", "Dy", "Dy", "S", "N"],
  "fractional_positions": [[0.8138, 0.8138, 0.6277], [0.0000, 0.5000, 0.0000], [0.0000, 0.0000, 0.0000], [0.6277, 0.6277, 0.2554], [0.3723, 0.3723, 0.7446], [0.1862, 0.1862, 0.3723], [0.5000, 0.0000, 0.0000]]
}

No. 19
{
  "formula": "RbTiS2",
  "functional": "GGA-PBE",
  "state": "optimized geometry",
  "formation_energy_uncorrected_kj_per_mol_fu": -517,
  "dft_energy_ev_per_fu": -22.5,
  "rho_kg_m3": 2655,
  "lattice": [[-6.5570, -2.1319, 3.2210], [3.8793, -4.4250, -0.7724], [5.5897, 2.1475, 3.8125]],
  "species": ["S", "Ti", "Ti", "Rb", "Rb", "S", "S", "S"],
  "fractional_positions": [[0.4932, 0.4843, 0.9551], [0.5748, 0.3449, 0.7382], [0.5856, 0.8449, 0.7602], [0.2268, 0.8453, 0.0430], [0.9336, 0.3443, 0.4554], [0.6672, 0.7056, 0.5432], [0.8736, 0.2059, 0.9543], [0.2869, 0.9840, 0.5441]]
}

No. 20
{
  "formula": "Sm2HfThAs4",
  "functional": "GGA-PBE",
  "state": "optimized geometry",
  "e_form_ev_per_atom": -1.33,
  "dft_energy_ev_per_fu": -56.0,
  "rho_kg_m3": 8426,
  "lattice": [[-4.0496, 0.1007, 0.7992], [1.1891, -2.9286, 6.3941], [0.2888, 7.1427, 0.5639]],
  "species": ["Sm", "Hf", "As", "Sm", "As", "As", "As", "Th"],
  "fractional_positions": [[0.5000, 0.0000, 0.5000], [0.0000, 0.0000, 0.0000], [0.5000, 0.7689, 0.7669], [0.0000, 0.5000, 0.5000], [0.0000, 0.2382, 0.7572], [0.0000, 0.7618, 0.2428], [0.5000, 0.2311, 0.2331], [0.5000, 0.5000, 0.0000]]
}